# ZnSiPdAu

A relaxed structure of ZnSiPdAu (GGA-PBE, Alexandria).

Cell: 4.4252 4.4252 4.4252 Å, 60.00 60.00 60.00°
With the nearest neighbours (Å) after each atom.
Element x y z (fractional)
Au: 0.5000 0.5000 0.5000  4 Si 2.71, 4 Zn 2.71
Si: 0.7500 0.7500 0.7500  4 Au 2.71, 4 Pd 2.71
Zn: 0.2500 0.2500 0.2500  4 Pd 2.71, 4 Au 2.71
Pd: 0.0000 0.0000 0.0000  4 Zn 2.71, 4 Si 2.71

## Properties
crystal system: cubic
ΔE_f (raw): -0.180 eV per atom
spin magnetization: 0.00 μB/atom
V: 15.3 Å³ per atom
total DFT energy (no corrections): -15.9 eV for the cell shown